1.
# Tb9CePm2 | the Alexandria database | PBE-GGA | optimized geometry
# formation energy = 0.8 kcal/mol of atoms
# crystal system = tetragonal
data_Tb9CePm2
_symmetry_space_group_name_H-M 'P 4/m m m'
_symmetry_Int_Tables_number 123
_symmetry_space_group_name_Hall '-P 4 2'
_cell_length_a 5.052
_cell_length_b 5.052
_cell_length_c 15.147
_cell_angle_alpha 90.00
_cell_angle_beta 90.00
_cell_angle_gamma 90.00
loop_
_atom_site_label
_atom_site_type_symbol
_atom_site_fract_x
_atom_site_fract_y
_atom_site_fract_z
Tb1 Tb 0.000 0.000 0.000
Tb2 Tb 0.000 0.000 0.333
Tb3 Tb 0.000 0.500 0.164
Tb4 Tb 0.000 0.500 0.500
Ce1 Ce 0.500 0.500 0.000
Pm1 Pm 0.500 0.500 0.332

2.
# Cs8SO2 | the Alexandria database | PBE-GGA | optimized geometry
# formation energy from raw total energies = -793 meV/atom
# crystal system = monoclinic
data_Cs8SO2
_symmetry_space_group_name_H-M 'C 1 2/m 1'
_symmetry_Int_Tables_number 12
_symmetry_space_group_name_Hall '-C 2y'
_cell_length_a 15.106
_cell_length_b 13.402
_cell_length_c 7.879
_cell_angle_alpha 90.00
_cell_angle_beta 96.11
_cell_angle_gamma 90.00
loop_
_atom_site_label
_atom_site_type_symbol
_atom_site_fract_x
_atom_site_fract_y
_atom_site_fract_z
Cs1 Cs 0.109 0.153 0.254
Cs2 Cs 0.132 0.500 0.760
Cs3 Cs 0.193 0.000 0.781
S1 S 0.000 0.000 0.500
O1 O 0.200 0.000 0.127

3.
# HPbF3 | the Alexandria database | PBE-GGA | optimized geometry
# energy relative to the lowest polymorph listed for this composition = 0.3 kJ/mol of atoms
# crystal system = monoclinic
data_HPbF3
_symmetry_space_group_name_H-M 'P 1 21/c 1'
_symmetry_Int_Tables_number 14
_symmetry_space_group_name_Hall '-P 2ybc'
_cell_length_a 6.076
_cell_length_b 6.504
_cell_length_c 9.063
_cell_angle_alpha 90.00
_cell_angle_beta 115.82
_cell_angle_gamma 90.00
loop_
_atom_site_label
_atom_site_type_symbol
_atom_site_fract_x
_atom_site_fract_y
_atom_site_fract_z
H1 H 0.219 0.067 0.435
Pb1 Pb 0.330 0.652 0.293
F1 F 0.128 0.008 0.308
F2 F 0.307 0.126 0.574
F3 F 0.396 0.635 0.579

4.
# La2ZnMo | the Alexandria database | PBE-GGA | optimized geometry
# formation energy = 3.7 kcal/mol of atoms
# crystal system = tetragonal
data_La2ZnMo
_symmetry_space_group_name_H-M 'P 4 m m'
_symmetry_Int_Tables_number 99
_symmetry_space_group_name_Hall 'P 4 -2'
_cell_length_a 3.645
_cell_length_b 3.645
_cell_length_c 7.883
_cell_angle_alpha 90.00
_cell_angle_beta 90.00
_cell_angle_gamma 90.00
loop_
_atom_site_label
_atom_site_type_symbol
_atom_site_fract_x
_atom_site_fract_y
_atom_site_fract_z
La1 La 0.000 0.000 0.000
La2 La 0.500 0.500 0.406
Zn1 Zn 0.500 0.500 0.779
Mo1 Mo 0.000 0.000 0.667

5.
# Ti3AlAu | the Alexandria database | PBE-GGA | optimized geometry
# formation energy = 16.0 kcal/mol of atoms
# energy relative to the lowest polymorph listed for this composition = 97.1 kJ/mol of atoms
# crystal system = cubic
data_Ti3AlAu
_symmetry_space_group_name_H-M 'P m -3 m'
_symmetry_Int_Tables_number 221
_symmetry_space_group_name_Hall '-P 4 2 3'
_cell_length_a 4.652
_cell_length_b 4.652
_cell_length_c 4.652
_cell_angle_alpha 90.00
_cell_angle_beta 90.00
_cell_angle_gamma 90.00
loop_
_atom_site_label
_atom_site_type_symbol
_atom_site_fract_x
_atom_site_fract_y
_atom_site_fract_z
Ti1 Ti 0.000 0.000 0.500
Al1 Al 0.000 0.000 0.000
Au1 Au 0.500 0.500 0.500

6.
# KAg6Sn6 | the Alexandria database | PBE-GGA | optimized geometry
# formation energy = -0.9 kcal/mol of atoms
# crystal system = orthorhombic
data_KAg6Sn6
_symmetry_space_group_name_H-M 'I m m m'
_symmetry_Int_Tables_number 71
_symmetry_space_group_name_Hall '-I 2 2'
_cell_length_a 5.929
_cell_length_b 9.942
_cell_length_c 10.254
_cell_angle_alpha 90.00
_cell_angle_beta 90.00
_cell_angle_gamma 90.00
loop_
_atom_site_label
_atom_site_type_symbol
_atom_site_fract_x
_atom_site_fract_y
_atom_site_fract_z
K1 K 0.000 0.000 0.000
Ag1 Ag 0.000 0.263 0.500
Ag2 Ag 0.250 0.250 0.250
Sn1 Sn 0.000 0.000 0.344
Sn2 Sn 0.000 0.350 0.000
Sn3 Sn 0.000 0.500 0.319

7.
# LaSm3P | the Alexandria database | PBE-GGA | optimized geometry
# formation energy = -9.5 kcal/mol of atoms
# crystal system = cubic
data_LaSm3P
_symmetry_space_group_name_H-M 'P m -3 m'
_symmetry_Int_Tables_number 221
_symmetry_space_group_name_Hall '-P 4 2 3'
_cell_length_a 5.544
_cell_length_b 5.544
_cell_length_c 5.544
_cell_angle_alpha 90.00
_cell_angle_beta 90.00
_cell_angle_gamma 90.00
loop_
_atom_site_label
_atom_site_type_symbol
_atom_site_fract_x
_atom_site_fract_y
_atom_site_fract_z
La1 La 0.000 0.000 0.000
Sm1 Sm 0.000 0.500 0.500
P1 P 0.500 0.500 0.500

8.
# TaSiF | the Alexandria database | PBE-GGA | optimized geometry
# formation energy from raw total energies = -1179 meV/atom
# energy relative to the lowest polymorph listed for this composition = 7.9 kJ/mol of atoms
# crystal system = orthorhombic
data_TaSiF
_symmetry_space_group_name_H-M 'C m c m'
_symmetry_Int_Tables_number 63
_symmetry_space_group_name_Hall '-C 2c 2'
_cell_length_a 2.742
_cell_length_b 16.301
_cell_length_c 4.442
_cell_angle_alpha 90.00
_cell_angle_beta 90.00
_cell_angle_gamma 90.00
loop_
_atom_site_label
_atom_site_type_symbol
_atom_site_fract_x
_atom_site_fract_y
_atom_site_fract_z
Ta1 Ta 0.000 0.097 0.250
Si1 Si 0.000 0.453 0.250
F1 F 0.000 0.304 0.750

9.
# Y2RhAu | the Alexandria database | PBE-GGA | optimized geometry
# formation energy = -10.0 kcal/mol of atoms
# crystal system = tetragonal
data_Y2RhAu
_symmetry_space_group_name_H-M 'I -4 2 d'
_symmetry_Int_Tables_number 122
_symmetry_space_group_name_Hall 'I -4 2bw'
_cell_length_a 7.692
_cell_length_b 7.692
_cell_length_c 6.342
_cell_angle_alpha 90.00
_cell_angle_beta 90.00
_cell_angle_gamma 90.00
loop_
_atom_site_label
_atom_site_type_symbol
_atom_site_fract_x
_atom_site_fract_y
_atom_site_fract_z
Y1 Y 0.227 0.250 0.125
Rh1 Rh 0.000 0.000 0.000
Au1 Au 0.000 0.000 0.500

10.
# CsBa2ZnF8 | the Alexandria database | PBE-GGA | optimized geometry
# formation energy from raw total energies = -2914 meV/atom
# crystal system = monoclinic
data_CsBa2ZnF8
_symmetry_space_group_name_H-M 'P 1 2/m 1'
_symmetry_Int_Tables_number 10
_symmetry_space_group_name_Hall '-P 2y'
_cell_length_a 4.594
_cell_length_b 8.760
_cell_length_c 5.769
_cell_angle_alpha 90.00
_cell_angle_beta 100.27
_cell_angle_gamma 90.00
loop_
_atom_site_label
_atom_site_type_symbol
_atom_site_fract_x
_atom_site_fract_y
_atom_site_fract_z
Cs1 Cs 0.000 0.000 0.000
Ba1 Ba 0.500 0.269 0.500
Zn1 Zn 0.000 0.500 0.000
F1 F 0.067 0.319 0.770
F2 F 0.387 0.500 0.202
F3 F 0.401 0.000 0.691

11.
# MgZn2In2 | the Alexandria database | PBE-GGA | optimized geometry
# formation energy = 2.4 kcal/mol of atoms
# energy relative to the lowest polymorph listed for this composition = 6.6 kJ/mol of atoms
# crystal system = tetragonal
data_MgZn2In2
_symmetry_space_group_name_H-M 'I 4/m m m'
_symmetry_Int_Tables_number 139
_symmetry_space_group_name_Hall '-I 4 2'
_cell_length_a 4.130
_cell_length_b 4.130
_cell_length_c 13.134
_cell_angle_alpha 90.00
_cell_angle_beta 90.00
_cell_angle_gamma 90.00
loop_
_atom_site_label
_atom_site_type_symbol
_atom_site_fract_x
_atom_site_fract_y
_atom_site_fract_z
Mg1 Mg 0.000 0.000 0.000
Zn1 Zn 0.000 0.500 0.250
In1 In 0.000 0.000 0.391

12.
# Ag6Cl2OF | the Alexandria database | PBE-GGA | optimized geometry
# formation energy from raw total energies = -280 meV/atom
# crystal system = monoclinic
data_Ag6Cl2OF
_symmetry_space_group_name_H-M 'P 1 21/c 1'
_symmetry_Int_Tables_number 14
_symmetry_space_group_name_Hall '-P 2ybc'
_cell_length_a 6.663
_cell_length_b 6.298
_cell_length_c 9.738
_cell_angle_alpha 90.00
_cell_angle_beta 113.38
_cell_angle_gamma 90.00
loop_
_atom_site_label
_atom_site_type_symbol
_atom_site_fract_x
_atom_site_fract_y
_atom_site_fract_z
Ag1 Ag 0.029 0.035 0.246
Ag2 Ag 0.178 0.668 0.050
Ag3 Ag 0.278 0.232 0.016
Cl1 Cl 0.419 0.039 0.807
O1 O 0.000 0.000 0.000
F1 F 0.500 0.000 0.500

The records above yield D(E_F) values of 18.2 7.2 0.0 2.9 5.2 9.8 9.4 1.6 6.6 7.4 3.6 3.1 states/eV per cell, respectively.
The records above yield total energy values of -56.7 -59.2 -92.5 -21.3 -27.2 -85.5 -26.6 -90.7 -101.2 -55.9 -18.2 -60.9 eV per cell, respectively.
The records above yield calculated volume values of 386.53 1585.95 322.43 104.72 100.70 604.48 170.39 198.54 375.18 228.41 224.07 375.12 Å³/cell, respectively.